<1>
Computed, not measured: an optimized crystal structure of AlCo3B at the PBE level of DFT.

Summary:
D(E_F), states/eV per cell: 2.1

The structure in POSCAR format:
```
AlCo3B
1.0
3.765 0.000 0.000
0.000 3.765 0.000
0.000 0.000 3.765
Al Co B
1 3 1
direct
0.000 0.000 0.000
0.000 0.500 0.500
0.500 0.000 0.500
0.500 0.500 0.000
0.500 0.500 0.500
```


<2>
Computed, not measured: an optimized crystal structure of AlCo3B at the PBE level of DFT.

Summary:
D(E_F), states/eV per cell: 7.0

The structure in POSCAR format:
```
AlCo3B
1.0
4.185 0.000 0.000
0.000 4.185 0.000
0.000 0.000 4.185
Al Co B
1 3 1
direct
0.000 0.000 0.000
0.000 0.000 0.500
0.000 0.500 0.000
0.500 0.000 0.000
0.500 0.500 0.500
```


Tell me which of them is the most stable. Sure, it is <1>.


<1>
Computed, not measured: an optimized crystal structure of AlCrB at the PBE level of DFT.

Summary:
D(E_F), states/eV per cell: 2.2

The structure in POSCAR format:
```
AlCrB
1.0
1.502 -6.929 0.000
1.502 6.929 0.000
0.000 0.000 2.967
Al Cr B
2 2 2
direct
0.192 0.808 0.750
0.808 0.192 0.250
0.416 0.584 0.750
0.584 0.416 0.250
0.032 0.968 0.750
0.968 0.032 0.250
```


<2>
Computed, not measured: an optimized crystal structure of AlCrB at the PBE level of DFT.

Summary:
D(E_F), states/eV per cell: 2.0

The structure in POSCAR format:
```
AlCrB
1.0
3.121 -1.807 0.000
3.121 1.807 0.000
-2.080 0.000 6.122
Al Cr B
2 2 2
direct
0.124 0.124 0.370
0.876 0.876 0.630
0.285 0.285 0.858
0.715 0.715 0.142
0.403 0.403 0.208
0.597 0.597 0.792
```


Tell me which of them is the most stable. Sure, it is <1>.


<1>
Computed, not measured: an optimized crystal structure of AlCrB3 at the PBE level of DFT.

Summary:
D(E_F), states/eV per cell: 3.4

The structure in POSCAR format:
```
AlCrB3
1.0
3.836 0.000 0.000
0.000 3.836 0.000
0.000 0.000 3.836
Al Cr B
1 1 3
direct
0.000 0.000 0.000
0.500 0.500 0.500
0.000 0.500 0.500
0.500 0.000 0.500
0.500 0.500 0.000
```


<2>
Computed, not measured: an optimized crystal structure of AlCrB3 at the PBE level of DFT.

Summary:
D(E_F), states/eV per cell: 6.7

The structure in POSCAR format:
```
AlCrB3
1.0
3.963 0.000 0.000
0.000 3.963 0.000
0.000 0.000 3.963
Al Cr B
1 1 3
direct
0.000 0.000 0.000
0.500 0.500 0.500
0.000 0.000 0.500
0.000 0.500 0.000
0.500 0.000 0.000
```


Tell me which of them is the most stable. Sure, it is <1>.


<1>
Computed, not measured: an optimized crystal structure of AlCr3B at the PBE level of DFT.

Summary:
D(E_F), states/eV per cell: 5.2

The structure in POSCAR format:
```
AlCr3B
1.0
3.910 0.000 0.000
0.000 3.910 0.000
0.000 0.000 3.910
Al Cr B
1 3 1
direct
0.000 0.000 0.000
0.000 0.500 0.500
0.500 0.000 0.500
0.500 0.500 0.000
0.500 0.500 0.500
```


<2>
Computed, not measured: an optimized crystal structure of AlCr3B at the PBE level of DFT.

Summary:
D(E_F), states/eV per cell: 2.4

The structure in POSCAR format:
```
AlCr3B
1.0
4.414 0.000 0.000
0.000 4.414 0.000
0.000 0.000 4.414
Al Cr B
1 3 1
direct
0.000 0.000 0.000
0.000 0.000 0.500
0.000 0.500 0.000
0.500 0.000 0.000
0.500 0.500 0.500
```


Tell me which of them is the most stable. Sure, it is <1>.


<1>
Computed, not measured: an optimized crystal structure of CsAl2B2 at the PBE level of DFT.

Summary:
D(E_F), states/eV per cell: 7.9

The structure in POSCAR format:
```
CsAl2B2
1.0
8.610 0.000 0.000
0.000 8.610 0.000
0.000 0.000 3.362
Cs Al B
2 4 4
direct
0.000 0.000 0.000
0.500 0.500 0.000
0.108 0.392 0.000
0.392 0.892 0.000
0.608 0.108 0.000
0.892 0.608 0.000
0.067 0.567 0.500
0.433 0.067 0.500
0.567 0.933 0.500
0.933 0.433 0.500
```


<2>
Computed, not measured: an optimized crystal structure of CsAl2B2 at the PBE level of DFT.

Summary:
D(E_F), states/eV per cell: 2.2

The structure in POSCAR format:
```
CsAl2B2
1.0
-2.121 2.121 6.509
2.121 -2.121 6.509
2.121 2.121 -6.509
Cs Al B
1 2 2
direct
0.000 0.000 0.000
0.289 0.289 0.000
0.711 0.711 0.000
0.250 0.750 0.500
0.750 0.250 0.500
```


Tell me which of them is the most stable. Sure, it is <2>.


<1>
Computed, not measured: an optimized crystal structure of CsAl3B at the PBE level of DFT.

Summary:
D(E_F), states/eV per cell: 5.0

The structure in POSCAR format:
```
CsAl3B
1.0
6.100 0.000 0.000
0.000 6.100 0.000
0.000 0.000 6.100
Cs Al B
1 3 1
direct
0.000 0.000 0.000
0.000 0.000 0.500
0.000 0.500 0.000
0.500 0.000 0.000
0.500 0.500 0.500
```


<2>
Computed, not measured: an optimized crystal structure of CsAl3B at the PBE level of DFT.

Summary:
D(E_F), states/eV per cell: 3.8

The structure in POSCAR format:
```
CsAl3B
1.0
4.836 0.000 0.000
0.000 4.836 0.000
0.000 0.000 4.836
Cs Al B
1 3 1
direct
0.000 0.000 0.000
0.000 0.500 0.500
0.500 0.000 0.500
0.500 0.500 0.000
0.500 0.500 0.500
```


Tell me which of them is the most stable. Sure, it is <2>.


<1>
Computed, not measured: an optimized crystal structure of AlCuB3 at the PBE level of DFT.

Summary:
D(E_F), states/eV per cell: 1.8

The structure in POSCAR format:
```
AlCuB3
1.0
3.896 0.000 0.000
0.000 3.896 0.000
0.000 0.000 3.896
Al Cu B
1 1 3
direct
0.000 0.000 0.000
0.500 0.500 0.500
0.000 0.500 0.500
0.500 0.000 0.500
0.500 0.500 0.000
```


<2>
Computed, not measured: an optimized crystal structure of AlCuB3 at the PBE level of DFT.

Summary:
D(E_F), states/eV per cell: 2.1

The structure in POSCAR format:
```
AlCuB3
1.0
4.107 0.000 0.000
0.000 4.107 0.000
0.000 0.000 4.107
Al Cu B
1 1 3
direct
0.000 0.000 0.000
0.500 0.500 0.500
0.000 0.000 0.500
0.000 0.500 0.000
0.500 0.000 0.000
```


Tell me which of them is the most stable. Sure, it is <1>.


<1>
Computed, not measured: an optimized crystal structure of Al3CuB at the PBE level of DFT.

Summary:
D(E_F), states/eV per cell: 1.5

The structure in POSCAR format:
```
Al3CuB
1.0
4.136 0.000 0.000
0.000 4.136 0.000
0.000 0.000 4.136
Al Cu B
3 1 1
direct
0.000 0.000 0.500
0.000 0.500 0.000
0.500 0.000 0.000
0.500 0.500 0.500
0.000 0.000 0.000
```


<2>
Computed, not measured: an optimized crystal structure of Al3CuB at the PBE level of DFT.

Summary:
D(E_F), states/eV per cell: 2.6

The structure in POSCAR format:
```
Al3CuB
1.0
4.476 0.000 0.000
0.000 4.476 0.000
0.000 0.000 4.476
Al Cu B
3 1 1
direct
0.000 0.000 0.500
0.000 0.500 0.000
0.500 0.000 0.000
0.000 0.000 0.000
0.500 0.500 0.500
```


Tell me which of them is the most stable. Sure, it is <1>.


<1>
Computed, not measured: an optimized crystal structure of AlCuNi2B at the PBE level of DFT.

Summary:
D(E_F), states/eV per cell: 4.0

The structure in POSCAR format:
```
AlCuNi2B
1.0
4.368 0.000 0.000
0.000 4.368 0.000
0.000 0.000 3.631
Al Cu Ni B
1 1 2 1
direct
0.000 0.000 0.000
0.500 0.500 0.500
0.000 0.500 0.500
0.500 0.000 0.500
0.500 0.500 0.000
```


<2>
Computed, not measured: an optimized crystal structure of AlCuNi2B at the PBE level of DFT.

Summary:
D(E_F), states/eV per cell: 5.6

The structure in POSCAR format:
```
AlCuNi2B
1.0
4.294 0.000 0.000
0.000 4.294 0.000
0.000 0.000 4.291
Al Cu Ni B
1 1 2 1
direct
0.000 0.000 0.000
0.000 0.000 0.500
0.000 0.500 0.500
0.500 0.000 0.500
0.500 0.500 0.000
```


Tell me which of them is the most stable. Sure, it is <1>.


<1>
Computed, not measured: an optimized crystal structure of DyAlB at the PBE level of DFT.

Summary:
D(E_F), states/eV per cell: 1.3

The structure in POSCAR format:
```
DyAlB
1.0
3.773 0.000 0.000
-1.887 3.268 0.000
0.000 0.000 4.077
Dy Al B
1 1 1
direct
0.000 0.000 0.000
0.333 0.667 0.500
0.667 0.333 0.500
```


<2>
Computed, not measured: an optimized crystal structure of DyAlB at the PBE level of DFT.

Summary:
D(E_F), states/eV per cell: 3.2

The structure in POSCAR format:
```
DyAlB
1.0
0.000 3.970 4.364
2.850 0.000 4.364
2.850 3.970 0.000
Dy Al B
2 2 2
direct
0.183 0.817 0.183
0.817 0.183 0.817
0.320 0.320 0.680
0.680 0.680 0.320
0.250 0.250 0.250
0.750 0.750 0.750
```


Tell me which of them is the most stable. Sure, it is <1>.


<1>
Computed, not measured: an optimized crystal structure of ErAlB at the PBE level of DFT.

Summary:
D(E_F), states/eV per cell: 3.6

The structure in POSCAR format:
```
ErAlB
1.0
0.000 4.003 4.284
2.846 0.000 4.284
2.846 4.003 0.000
Er Al B
2 2 2
direct
0.184 0.816 0.184
0.816 0.184 0.816
0.322 0.322 0.678
0.678 0.678 0.322
0.250 0.250 0.250
0.750 0.750 0.750
```


<2>
Computed, not measured: an optimized crystal structure of ErAlB at the PBE level of DFT.

Summary:
D(E_F), states/eV per cell: 1.3

The structure in POSCAR format:
```
ErAlB
1.0
3.753 0.000 0.000
-1.877 3.250 0.000
0.000 0.000 4.024
Er Al B
1 1 1
direct
0.000 0.000 0.000
0.667 0.333 0.500
0.333 0.667 0.500
```


Tell me which of them is the most stable. Sure, it is <2>.


<1>
Computed, not measured: an optimized crystal structure of AlBF2 at the PBE level of DFT.

Summary:
D(E_F), states/eV per cell: 0.9

The structure in POSCAR format:
```
AlBF2
1.0
1.395 0.805 7.345
-1.395 0.805 7.345
0.000 -1.610 7.345
Al B F
1 1 2
direct
0.000 0.000 0.000
0.500 0.500 0.500
0.080 0.080 0.080
0.920 0.920 0.920
```


<2>
Computed, not measured: an optimized crystal structure of AlBF2 at the PBE level of DFT.

Summary:
D(E_F), states/eV per cell: 0.3

The structure in POSCAR format:
```
AlBF2
1.0
1.320 0.762 7.117
-1.320 0.762 7.117
0.000 -1.524 7.117
Al B F
1 1 2
direct
0.000 0.000 0.000
0.500 0.500 0.500
0.430 0.430 0.430
0.570 0.570 0.570
```


Tell me which of them is the most stable. Sure, it is <2>.


<1>
Computed, not measured: an optimized crystal structure of AlB2F2 at the PBE level of DFT.

Summary:
D(E_F), states/eV per cell: 5.1

The structure in POSCAR format:
```
AlB2F2
1.0
5.509 0.000 0.000
0.000 5.509 0.000
0.000 0.000 3.680
Al B F
2 4 4
direct
0.000 0.000 0.000
0.500 0.500 0.000
0.108 0.392 0.000
0.392 0.892 0.000
0.608 0.108 0.000
0.892 0.608 0.000
0.169 0.331 0.500
0.331 0.831 0.500
0.669 0.169 0.500
0.831 0.669 0.500
```


<2>
Computed, not measured: an optimized crystal structure of AlB2F2 at the PBE level of DFT.

Summary:
D(E_F), states/eV per cell: 1.3

The structure in POSCAR format:
```
AlB2F2
1.0
-1.674 1.674 4.355
1.674 -1.674 4.355
1.674 1.674 -4.355
Al B F
1 2 2
direct
0.000 0.000 0.000
0.413 0.413 0.000
0.587 0.587 0.000
0.250 0.750 0.500
0.750 0.250 0.500
```


Tell me which of them is the most stable. Sure, it is <1>.


<1>
Computed, not measured: an optimized crystal structure of AlBOF2 at the PBE level of DFT.

Summary:
D(E_F), states/eV per cell: 0.0

The structure in POSCAR format:
```
AlBOF2
1.0
3.751 0.000 0.000
0.000 3.751 0.000
0.000 0.000 3.671
Al B O F
1 1 1 2
direct
0.000 0.000 0.000
0.500 0.500 0.500
0.000 0.000 0.500
0.000 0.500 0.000
0.500 0.000 0.000
```


<2>
Computed, not measured: an optimized crystal structure of AlBOF2 at the PBE level of DFT.

Summary:
D(E_F), states/eV per cell: 0.1

The structure in POSCAR format:
```
AlBOF2
1.0
4.534 0.000 0.000
0.000 4.534 0.000
0.000 0.000 2.622
Al B O F
1 1 1 2
direct
0.000 0.000 0.000
0.500 0.500 0.500
0.500 0.500 0.000
0.000 0.500 0.500
0.500 0.000 0.500
```


Tell me which of them is the most stable. Sure, it is <1>.